No. 1
Computed, not measured: crystalline BaP2PtSe8 at its relaxed geometry at the GGA-PBE level of DFT.

Unit cell a=6.206 b=6.206 c=9.279 alpha=90.00 beta=90.00 gamma=120.00
Atoms (fractional coordinates):
Ba 0.000 0.000 0.000
P 0.333 0.667 0.731
P 0.667 0.333 0.269
Pt 0.000 0.000 0.500
Se 0.024 0.693 0.328
Se 0.307 0.332 0.328
Se 0.332 0.024 0.672
Se 0.333 0.667 0.966
Se 0.667 0.333 0.034
Se 0.668 0.976 0.328
Se 0.693 0.668 0.672
Se 0.976 0.307 0.672

Crystal system: trigonal
Uncorrected formation energy, eV per atom: -0.43

No. 2
Computed, not measured: crystalline BaSmP2Pt4 at its relaxed geometry at the GGA-PBE level of DFT.

Unit cell a=4.105 b=4.105 c=10.468 alpha=90.00 beta=90.00 gamma=90.00
Atoms (fractional coordinates):
Ba 0.000 0.000 0.000
Sm 0.000 0.000 0.500
P 0.500 0.500 0.179
P 0.500 0.500 0.821
Pt 0.000 0.500 0.290
Pt 0.000 0.500 0.710
Pt 0.500 0.000 0.290
Pt 0.500 0.000 0.710

Crystal system: tetragonal
Energy of formation, eV per atom: -0.86